# KTmPO4

A relaxed structure of KTmPO4 (PBE, Alexandria via LeMat-Bulk).

a = 5.9940 Å, b = 5.9940 Å, c = 5.9940 Å
α = 60.00°, β = 60.00°, γ = 60.00°
With the nearest neighbours (Å) after each atom.
Atoms (fractional coordinates):
K1 0.7500 0.7500 0.7500  12 O 3.57, 4 Tm 3.67
O1 0.3560 0.3560 0.3560  1 P 1.56
O2 0.9319 0.3560 0.3560  1 P 1.56
O3 0.3560 0.9319 0.3560  1 P 1.56
Tm1 0.5000 0.5000 0.5000  4 O 2.11
O4 0.3560 0.3560 0.9319  1 P 1.56
P1 0.2500 0.2500 0.2500  4 O 1.56

Computed properties:
**Magnetization**: 0.00 Bohr magnetons per cell
**ΔE_f (raw)**: -16.360 eV/f.u.
**Fermi-level density of states**: 0.89 states/eV/cell
**Crystal system**: cubic